1.
A relaxed structure of NiHS2, computed with PBE.

Output
SG: R-3m (166)
Raw total energy, eV per atom: -3.65
ρ, g/cm³: 4.45

abc: 7.051 7.051 7.051
angles: 22.80 22.80 22.80
Sites, in units of the cell vectors:
Ni1 0.000 0.000 0.000
S1 0.898 0.898 0.898
S2 0.102 0.102 0.102
H1 0.500 0.500 0.500

---

2.
A relaxed structure of KMnMo2, computed with PBE.

Output
SG: C2/m (12)
ΔH_f (0 K), eV/atom: 1.309
ρ, g/cm³: 6.45

abc: 5.939 5.939 2.631
angles: 83.72 83.72 125.25
Sites, in units of the cell vectors:
Mo1 0.500 0.500 0.000
Mo2 0.000 0.000 0.000
K1 0.500 0.000 0.500
Mn1 0.000 0.500 0.500

---

3.
A relaxed structure of AcGdNiAu, computed with PBE.

Output
SG: F-43m (216)
ΔH_f (0 K), eV/atom: -0.438
ρ, g/cm³: 10.57

abc: 5.218 5.218 5.218
angles: 60.00 60.00 60.00
Sites, in units of the cell vectors:
Au1 0.750 0.750 0.750
Ni1 0.250 0.250 0.250
Gd1 0.000 0.000 0.000
Ac1 0.500 0.500 0.500